Density functional theory data (GGA-PBE) for crystalline KBa at its relaxed geometry.

Unit cell a=4.337 b=4.337 c=7.173 alpha=90.00 beta=90.00 gamma=90.00
Fractional coordinates of all 2 atoms:
K (0.000, 0.000, 0.000)
Ba (0.500, 0.500, 0.500)

## Properties
The calculation puts the energy relative to the elements at 0.113 eV/atom.

Density functional theory data (GGA-PBE) for crystalline Sr2GaGe4Pt3 at its relaxed geometry.

Unit cell a=4.413 b=4.413 c=10.505 alpha=90.00 beta=90.00 gamma=90.00
Fractional coordinates of all 10 atoms:
Sr (0.000, 0.500, 0.249)
Sr (0.500, 0.000, 0.751)
Ga (0.000, 0.000, 0.500)
Ge (0.000, 0.000, 0.000)
Ge (0.000, 0.500, 0.638)
Ge (0.500, 0.000, 0.362)
Ge (0.500, 0.500, 0.000)
Pt (0.000, 0.500, 0.879)
Pt (0.500, 0.000, 0.121)
Pt (0.500, 0.500, 0.500)

## Properties
The calculation puts the energy relative to the elements at -0.717 eV/atom.

Density functional theory data (GGA-PBE) for crystalline In2H7Ir2 at its relaxed geometry.

Unit cell a=5.188 b=5.188 c=5.615 alpha=109.73 beta=109.73 gamma=69.42
Fractional coordinates of all 11 atoms:
In (0.245, 0.755, 0.000)
In (0.755, 0.245, 0.000)
H (0.000, 0.000, 0.500)
H (0.077, 0.596, 0.344)
H (0.302, 0.302, 0.612)
H (0.404, 0.923, 0.656)
H (0.596, 0.077, 0.344)
H (0.698, 0.698, 0.388)
H (0.923, 0.404, 0.656)
Ir (0.201, 0.201, 0.801)
Ir (0.799, 0.799, 0.199)

## Properties
As for the total energy: -4.1837 eV per atom.

no.,Fermi-level density of states (states/eV/f.u.)
1,1.88
2,5.62
3,1.62